1.
Density functional theory data (meta-GGA SCAN) for BiSeBr2N at its PBEsol-relaxed geometry.

## Properties
Excess energy over the best structure of this formula in the dataset (eV/atom): 0.000
Uncorrected formation energy (eV per atom): 0.8211

Unit cell a=4.5350 b=4.5350 c=4.8847 alpha=90.00 beta=90.00 gamma=90.00
Last column: nearest neighbours and their distance in Å.
Positions (direct):
Se 0.0000 0.0000 0.5000  2 N 2.44
Bi 0.5000 0.5000 0.5000  4 Se 3.21, 8 Br 3.33
Br 0.0000 0.5000 0.0000  2 N 2.27
Br 0.5000 0.0000 0.0000  2 N 2.27
N 0.0000 0.0000 0.0000  4 Br 2.27, 2 Se 2.44

=====

2.
Density functional theory data (meta-GGA SCAN) for BeAg2Rh at its PBEsol-relaxed geometry.

## Properties
Calculated formation energy (meV per atom): 195

Unit cell a=2.7356 b=2.7356 c=8.6449 alpha=80.90 beta=80.90 gamma=60.00
Last column: nearest neighbours and their distance in Å.
Positions (direct):
Be 0.5000 0.5000 0.5000  6 Ag 2.49, 6 Be 2.74
Rh 0.0000 0.0000 0.0000  6 Rh 2.74, 6 Ag 2.81
Ag 0.2421 0.2421 0.2738  3 Be 2.49, 6 Ag 2.74
Ag 0.7579 0.7579 0.7262  3 Be 2.49, 6 Ag 2.74

=====

3.
Density functional theory data (meta-GGA SCAN) for SrSc2Cd at its PBEsol-relaxed geometry.

## Properties
Excess energy over the best structure of this formula in the dataset (eV/atom): 0.045
Calculated formation energy (meV per atom): 141

Unit cell a=5.3104 b=5.3104 c=5.3104 alpha=60.00 beta=60.00 gamma=60.00
Last column: nearest neighbours and their distance in Å.
Positions (direct):
Cd 0.5000 0.5000 0.5000  4 Sc 3.25, 4 Sr 3.25
Sc 0.0000 0.0000 0.0000  4 Sc 3.25, 4 Sr 3.25
Sc 0.7500 0.7500 0.7500  4 Cd 3.25, 4 Sc 3.25
Sr 0.2500 0.2500 0.2500  4 Cd 3.25, 4 Sc 3.25

=====

4.
Density functional theory data (meta-GGA SCAN) for AsP2Os at its PBEsol-relaxed geometry.

## Properties
Calculated formation energy (meV per atom): 280

Unit cell a=3.1405 b=3.1405 c=7.2359 alpha=77.47 beta=77.47 gamma=60.00
Last column: nearest neighbours and their distance in Å.
Positions (direct):
As 0.5047 0.5047 0.4859  3 Os 2.48
Os 0.2517 0.2517 0.2449  3 As 2.48, 3 P 2.59
P 0.0064 0.0064 0.9809  3 P 2.26
P 0.7372 0.7372 0.7883  3 P 2.26

=====

| no. | E (eV for the cell shown) | D(E_F) (states/eV per cell) |
| --- | --- | --- |
| 1 | -142.8 | 1.8 |
| 2 | -100.1 | 3.0 |
| 3 | -80.6 | 4.4 |
| 4 | -111.7 | 1.8 |